SiMo2As | Alexandria | GGA-PBEsol | relaxed; space group = R-3m; ΔE to the lowest computed polymorph = 0 meV/atom; crystal system = trigonal; raw formation energy = 13 meV per atom
1.0
-1.201 2.678 -0.026
-1.141 1.121 2.461
6.250 4.436 2.627
Si Mo As
1 2 1
Cartesian
1.954 4.118 2.531
2.940 6.180 3.799
0.969 2.055 1.263
0.000 0.000 0.000